# 1
The following is a DFT calculation (PBE) of a relaxed structure of Ba6NiHgAu2.

It has space group R3 (No. 146, hexagonal axes), with a = 8.2367 Å, b = 8.2367 Å, c = 22.9345 Å, α = 90.00°, β = 90.00° and γ = 120.00°. The asymmetric unit holds Ba at (0.0039, 0.3197, 0.0000), Ba at (0.0320, 0.6815, 0.8251), Ni at (0.0000, 0.0000, 0.0769), Hg at (0.0000, 0.0000, 0.5759), Au at (0.0000, 0.0000, 0.2528) and Au at (0.0000, 0.0000, 0.7431).

The calculation puts the total energy at -2.778 eV per atom.


# 2
The following is a DFT calculation (PBE) of a relaxed structure of Ga7AgPb2.

It has space group P-4m2 (No. 115), with a = 4.3475 Å, b = 4.3475 Å, c = 11.3771 Å, α = 90.00°, β = 90.00° and γ = 90.00°. The asymmetric unit holds Ga at (0.0000, 0.0000, 0.0000), Ga at (0.0000, 0.0000, 0.5000), Ga at (0.0000, 0.5000, 0.1363), Ga at (0.0000, 0.5000, 0.3577), Ga at (0.5000, 0.5000, 0.0000), Ag at (0.5000, 0.5000, 0.5000) and Pb at (0.0000, 0.5000, 0.7447).

The calculation puts the total energy at -3.116 eV per atom.


# 3
The following is a DFT calculation (PBE) of a relaxed structure of HBr.

It has space group P6_3/m (No. 176), with a = 10.2350 Å, b = 10.2350 Å, c = 4.3879 Å, α = 90.00°, β = 90.00° and γ = 120.00°. The asymmetric unit holds H at (0.1577, 0.3415, 0.2500) and Br at (0.0658, 0.6865, 0.2500).

The calculation puts the total energy at -2.734 eV per atom.


# 4
The following is a DFT calculation (PBE) of a relaxed structure of Li2AgAu.

It has space group R3m (No. 160, hexagonal axes), with a = 2.9766 Å, b = 2.9766 Å, c = 27.3558 Å, α = 90.00°, β = 90.00° and γ = 120.00°. The asymmetric unit holds Li at (0.0000, 0.0000, 0.0000), Li at (0.0000, 0.0000, 0.2403), Ag at (0.0000, 0.0000, 0.7448) and Au at (0.0000, 0.0000, 0.4993).

As for the energy above the most stable polymorph in this dataset: 25.14 kJ/mol of atoms.


# 5
The following is a DFT calculation (PBE) of a relaxed structure of CaRe2Pt.

It has space group P2/m (No. 10), with a = 2.7467 Å, b = 5.0715 Å, c = 4.9714 Å, α = 90.00°, β = 94.85° and γ = 90.00°. The asymmetric unit holds Ca at (0.0000, 0.0000, 0.0000), Re at (0.3297, 0.5000, 0.7542) and Pt at (0.5000, 0.0000, 0.5000).

As for the energy above the most stable polymorph in this dataset: 22.97 kJ/mol of atoms.


# 6
The following is a DFT calculation (PBE) of a relaxed structure of Mg2ScSb2.

It has space group P4/mbm (No. 127), with a = 7.8173 Å, b = 7.8173 Å, c = 4.0583 Å, α = 90.00°, β = 90.00° and γ = 90.00°. The asymmetric unit holds Mg at (0.1439, 0.3561, 0.0000), Sc at (0.0000, 0.0000, 0.5000) and Sb at (0.1615, 0.6615, 0.5000).

The formation energy without anion corrections comes out at -350 meV/atom.


Number 1: N(E_F) 0.676 states/eV/atom, mass density 5.5 Mg/m³. Number 2: N(E_F) 0.325 states/eV/atom, mass density 7.8 Mg/m³. Number 3: N(E_F) 0.000 states/eV/atom, mass density 2.0 Mg/m³. Number 4: N(E_F) 0.393 states/eV/atom, mass density 7.6 Mg/m³. Number 5: N(E_F) 0.889 states/eV/atom, mass density 14.6 Mg/m³. Number 6: N(E_F) 0.856 states/eV/atom, mass density 4.5 Mg/m³.